[1]
VASP calculation (PBE+U) on crystalline Cr2InIF at its relaxed geometry.

abc: 4.7744 5.6517 4.7744
angles: 90.00 90.00 90.00
Last column: nearest neighbours and their distance in Å.
Atoms (fractional coordinates):
Cr  0.5000  0.0000  0.0000  2 F 2.39
I  0.5000  0.5000  0.5000  4 In 3.38, 8 Cr 3.70
In  0.0000  0.5000  0.0000  2 F 2.83
Cr  0.0000  0.0000  0.5000  2 F 2.39
F  0.0000  0.0000  0.0000  4 Cr 2.39

## Properties
**Total magnetic moment**: 10.6 μB per formula unit
**Total energy**: -0.165 Ha/atom
**Density**: 4.7 g/cm³
**Symmetry**: P4/mmm

=====

[2]
VASP calculation (PBE+U) on crystalline LiCrPO4 at its relaxed geometry.

abc: 5.1288 9.2339 6.4395
angles: 90.00 90.00 90.00
Last column: nearest neighbours and their distance in Å.
Atoms (fractional coordinates):
O  0.0907  0.8549  0.2500  1 P 1.56
O  0.6544  0.8847  0.5570  1 P 1.55
Li  0.5000  0.5001  0.0000  4 O 2.10-2.15
Cr  0.9568  0.3612  0.2500  3 O 2.07-2.09
P  0.9691  0.3106  0.7500  4 O 1.55-1.56
O  0.3457  0.1153  0.0570  1 P 1.55
O  0.5907  0.6451  0.7500  1 P 1.56
O  0.8456  0.3847  0.9430  1 P 1.55
Cr  0.0432  0.6388  0.7500  3 O 2.07-2.09
O  0.4093  0.3549  0.2500  1 P 1.56
Cr  0.4568  0.1388  0.7500  3 O 2.07-2.09
O  0.2687  0.3398  0.7500  1 P 1.56
O  0.1543  0.6153  0.0570  1 P 1.55
O  0.1543  0.6153  0.4430  1 P 1.55
Cr  0.5432  0.8612  0.2500  3 O 2.07-2.09
P  0.4692  0.1894  0.2500  4 O 1.55-1.56
Li  0.5000  0.5001  0.5000  4 O 2.10-2.15
Li  0.0000  0.0001  0.0000  4 O 2.10-2.15
O  0.7312  0.6602  0.2500  1 P 1.56
Li  0.0000  0.0001  0.5000  4 O 2.10-2.15
P  0.5309  0.8106  0.7500  4 O 1.55-1.56
O  0.9093  0.1451  0.7500  1 P 1.56
O  0.7688  0.1602  0.2500  1 P 1.56
O  0.8456  0.3847  0.5570  1 P 1.55
P  0.0308  0.6894  0.2500  4 O 1.55-1.56
O  0.2313  0.8398  0.7500  1 P 1.56
O  0.3457  0.1153  0.4430  1 P 1.55
O  0.6544  0.8847  0.9430  1 P 1.55

## Properties
**Total magnetic moment**: 4.0 μB per formula unit
**Total energy**: -0.259 Ha/atom
**Excess energy over the best structure of this formula in the dataset**: 0.074 eV per atom
**Density**: 3.4 g/cm³
**Symmetry**: Pnma

=====

Question: What is the total magnetic moment in the first record?
Answer: 10.6 μB per formula unit